[1]
Tb6Hg2C after structural relaxation. Source: the Alexandria database, functional PBE-GGA.

**Total moment**: 0.000 μB/cell
**DFT formation energy**: -347 meV per atom
**E**: -4.53 eV per atom
**Space group**: No. 14

Cell and atoms, written as extended XYZ:
```
18
Lattice="6.942 0.000 0.286 0.000 6.986 0.000 -0.411 0.000 9.834" Properties=species:S:1:pos:R:3 pbc="T T T"
Tb 6.253 6.929 2.788
Tb 5.148 5.164 5.561
Tb 4.885 5.092 9.621
Tb 4.911 1.599 5.559
Tb 4.648 1.671 9.619
Tb 3.955 3.436 2.559
Tb 0.278 0.057 7.333
Tb 1.383 1.822 4.559
Tb 1.646 1.895 0.499
Tb 1.620 5.388 4.561
Tb 1.883 5.315 0.501
Tb 2.576 3.550 7.562
Hg 6.546 3.349 7.646
Hg 3.250 6.842 7.535
Hg 3.281 0.144 2.586
Hg -0.015 3.637 2.475
C 3.471 3.493 0.143
C -0.205 0.000 4.917
```

[2]
Tb8HgC4 after structural relaxation. Source: the Alexandria database, functional PBE-GGA.

**Total moment**: 0.000 μB/cell
**DFT formation energy**: -251 meV per atom
**E**: -5.96 eV per atom
**Space group**: No. 12

Cell and atoms, written as extended XYZ:
```
13
Lattice="3.567 0.000 0.773 1.660 8.837 0.955 -0.117 -0.155 9.159" Properties=species:S:1:pos:R:3 pbc="T T T"
Tb 1.048 2.723 3.782
Tb 3.021 5.573 3.293
Tb 2.215 3.148 7.016
Tb 4.188 6.000 6.526
Tb 4.655 8.606 4.371
Tb 1.745 5.749 9.187
Tb 0.582 0.116 5.935
Tb 3.492 2.973 1.121
Hg 1.730 -0.134 9.253
C 2.632 7.320 5.089
C 3.768 4.439 8.464
C 1.468 4.283 1.844
C 2.604 1.402 5.217
```

[3]
Tb3Hg2C after structural relaxation. Source: the Alexandria database, functional PBE-GGA.

**Total moment**: 0.000 μB/cell
**DFT formation energy**: -401 meV per atom
**E**: -4.35 eV per atom
**Space group**: No. 65

Cell and atoms, written as extended XYZ:
```
12
Lattice="5.056 0.000 0.000 0.000 7.018 0.852 -2.528 -0.943 7.709" Properties=species:S:1:pos:R:3 pbc="T T T"
Tb 2.528 1.754 0.213
Tb 2.528 5.263 0.639
Tb -0.001 -0.213 1.748
Tb 2.529 2.779 6.387
Tb 0.000 3.296 2.174
Tb 2.529 6.288 6.813
Hg 2.529 4.885 3.695
Hg 2.527 1.377 3.269
Hg 0.001 4.699 5.293
Hg 0.000 1.190 4.867
C 0.001 5.263 0.639
C 5.055 1.754 0.213
```

[4]
Tb7Hg2C2 after structural relaxation. Source: the Alexandria database, functional PBE-GGA.

**Total moment**: 0.001 μB/cell
**DFT formation energy**: 32 meV per atom
**E**: -4.65 eV per atom
**Space group**: No. 12

Cell and atoms, written as extended XYZ:
```
11
Lattice="-1.268 5.035 -5.933 3.527 -4.393 -3.840 -6.543 -1.861 0.461" Properties=species:S:1:pos:R:3 pbc="T T T"
Tb -0.615 -4.069 -4.626
Tb 0.159 1.888 -6.322
Tb -3.669 2.850 -4.687
Tb -4.443 -3.107 -2.991
Tb 0.000 0.000 0.000
Tb -2.802 0.409 -6.802
Tb -1.482 -1.628 -2.511
Hg -3.992 -0.144 -3.866
Hg -0.292 -1.075 -5.447
C -2.012 2.697 -6.298
C -2.272 -3.916 -3.015
```

[5]
Tb3HgC after structural relaxation. Source: the Alexandria database, functional PBE-GGA.

**Total moment**: 0.001 μB/cell
**DFT formation energy**: -345 meV per atom
**E**: -5.03 eV per atom
**Space group**: No. 221
**Excess energy over the best structure of this formula in the dataset**: 27.5 meV per atom

Cell and atoms, written as extended XYZ:
```
5
Lattice="4.929 0.000 0.000 0.000 4.929 0.000 0.000 0.000 4.929" Properties=species:S:1:pos:R:3 pbc="T T T"
C 0.000 0.000 0.000
Tb 0.000 2.464 0.000
Tb 0.000 0.000 2.464
Tb 2.464 0.000 0.000
Hg 2.464 2.464 2.464
```

[6]
Tb12Hg3C5 after structural relaxation. Source: the Alexandria database, functional PBE-GGA.

**Total moment**: 0.000 μB/cell
**DFT formation energy**: -153 meV per atom
**E**: -5.28 eV per atom
**Space group**: No. 230

Cell and atoms, written as extended XYZ:
```
80
Lattice="-6.289 9.684 -7.507 -9.304 -9.139 4.428 6.178 5.871 10.819" Properties=species:S:1:pos:R:3 pbc="T T T"
Hg -7.433 4.569 -2.618
Hg -11.708 2.353 -1.896
Hg -5.475 0.446 7.267
Hg -0.418 3.480 2.734
Hg -5.121 8.798 -3.311
Hg -6.629 -0.613 2.657
Hg -2.786 7.028 5.082
Hg -4.293 -2.383 11.050
Hg -8.996 2.935 5.005
Hg -3.940 5.969 0.472
Hg 2.294 4.063 9.635
Hg -1.981 1.846 10.357
C -2.730 -0.749 3.427
C -4.652 -4.569 2.214
C 0.000 0.000 0.000
C -3.912 2.080 -0.356
C -0.055 7.777 1.656
C -7.796 0.272 -1.540
C -5.447 -3.442 6.439
C -0.474 11.257 4.389
C -8.215 3.752 1.194
C 1.112 6.892 5.852
C -10.527 -0.477 1.887
C -4.707 3.208 3.870
C -3.144 4.842 -3.754
C 3.089 2.935 5.409
C -1.200 2.663 6.545
C -8.941 -4.842 3.350
C -1.563 -1.634 7.623
C -3.967 9.858 1.300
C -5.502 4.335 8.095
C -6.684 7.164 4.312
Tb -5.354 5.858 -4.569
Tb -4.311 0.708 4.291
Tb -7.927 7.732 -2.429
Tb -4.427 3.842 -1.770
Tb -5.998 3.295 6.085
Tb -10.585 5.144 -2.753
Tb -6.877 -1.814 5.620
Tb -8.388 -6.746 4.548
Tb -8.662 0.803 7.270
Tb -8.745 2.495 -0.678
Tb -7.121 5.599 0.320
Tb -13.440 -0.253 -1.934
Tb -4.037 -2.270 7.855
Tb -5.652 0.563 -0.162
Tb -6.578 -5.146 7.528
Tb 0.032 6.452 3.851
Tb -1.015 0.355 2.329
Tb -8.799 -1.015 0.440
Tb -11.777 1.326 1.141
Tb -3.958 -2.108 2.008
Tb -6.634 -0.543 10.089
Tb -6.905 2.582 2.705
Tb -10.087 4.335 2.428
Tb -2.334 10.197 5.274
Tb -2.509 3.834 5.034
Tb 0.672 2.081 5.311
Tb -7.080 -3.782 2.465
Tb 2.362 5.090 6.598
Tb -2.781 6.958 -2.350
Tb -5.456 8.524 5.731
Tb -0.615 7.430 7.299
Tb -9.446 -0.037 3.889
Tb -8.400 6.060 5.410
Tb -2.836 11.561 0.211
Tb -5.377 8.685 -0.116
Tb 4.026 6.668 9.673
Tb -3.763 5.852 7.901
Tb -0.753 5.612 0.469
Tb -0.669 3.921 8.417
Tb -2.293 0.817 7.419
Tb -1.027 13.161 3.191
Tb -2.538 8.229 2.119
Tb -4.987 2.574 9.509
Tb 1.171 1.271 10.492
Tb -3.416 3.120 1.654
Tb -1.487 -1.317 10.168
Tb -5.104 5.707 3.448
Tb -4.060 0.557 12.308
```